Entry 1:
The following is a DFT calculation (GGA-PBE) of a relaxed structure of OsPd3N.

Unit cell a=4.7788 b=4.7788 c=4.7788 alpha=90.00 beta=90.00 gamma=90.00
Last column: nearest neighbours and their distance in Å.
Space group Pm-3m (No. 221)
One atom of each set of equivalent atoms:
1 Os 0.0000 0.0000 0.0000 (multiplicity 1)  6 Pd 2.39
2 Pd 0.0000 0.0000 0.5000 (multiplicity 3)  2 Os 2.39
3 N 0.5000 0.5000 0.5000 (multiplicity 1)  12 Pd 3.38

**E**: -4.570 eV/atom
**Total magnetization**: 0.000 μB per atom


Entry 2:
The following is a DFT calculation (GGA-PBE) of a relaxed structure of Os2Pd2N.

Unit cell a=5.4240 b=5.4240 c=4.7607 alpha=90.00 beta=90.00 gamma=90.00
Last column: nearest neighbours and their distance in Å.
Space group P4/mbm (No. 127)
One atom of each set of equivalent atoms:
1 Os 0.1714 0.3286 0.0000 (multiplicity 4)  2 N 2.01
2 Pd 0.1742 0.6742 0.5000 (multiplicity 4)  2 Os 2.66, 5 Pd 2.67-2.83
3 N 0.0000 0.0000 0.0000 (multiplicity 2)  4 Os 2.01

**E**: -7.671 eV/atom
**Total magnetization**: 0.000 μB per atom


Entry 3:
The following is a DFT calculation (GGA-PBE) of a relaxed structure of OsPdN2.

Unit cell a=4.8276 b=4.8276 c=8.9542 alpha=90.00 beta=90.00 gamma=90.00
Last column: nearest neighbours and their distance in Å.
Space group I-42d (No. 122)
One atom of each set of equivalent atoms:
1 Os 0.0000 0.0000 0.0000 (multiplicity 4)  4 N 1.91
2 Pd 0.0000 0.0000 0.5000 (multiplicity 4)  4 N 2.19
3 N 0.2006 0.2500 0.1250 (multiplicity 8)  2 Os 1.91

**E**: -7.698 eV/atom
**Total magnetization**: 0.000 μB per atom


Entry 4:
The following is a DFT calculation (GGA-PBE) of a relaxed structure of OsPd2N.

Unit cell a=8.0120 b=8.0120 c=3.8054 alpha=90.00 beta=90.00 gamma=90.00
Last column: nearest neighbours and their distance in Å.
Space group I-42d (No. 122)
One atom of each set of equivalent atoms:
1 Os 0.0000 0.0000 0.0000 (multiplicity 4)  2 N 1.90
2 Pd 0.1277 0.2500 0.6250 (multiplicity 8)  2 N 2.30
3 N 0.0000 0.0000 0.5000 (multiplicity 4)  2 Os 1.90

**E**: -6.647 eV/atom
**Total magnetization**: 0.149 μB per atom


| no. | ΔE_f (raw) (eV per atom) |
| --- | --- |
| 1 | 2.456 |
| 2 | 0.563 |
| 3 | 0.570 |
| 4 | 0.839 |